VASP calculation (PBE) on a geometry-optimized AcNd8Ho5 structure.

Structure (CIF):
```
data_AcNd8Ho5
_symmetry_space_group_name_H-M 'I -4'
_symmetry_Int_Tables_number 82
_symmetry_space_group_name_Hall 'I -4'
_cell_length_a 9.7405
_cell_length_b 9.7405
_cell_length_c 10.5083
_cell_angle_alpha 90.00
_cell_angle_beta 90.00
_cell_angle_gamma 90.00
loop_
_atom_site_label
_atom_site_type_symbol
_atom_site_fract_x
_atom_site_fract_y
_atom_site_fract_z
Ac1 Ac 0.0000 0.0000 0.0000
Nd1 Nd 0.0715 0.8249 0.6460
Nd2 Nd 0.0935 0.6678 0.0004
Ho1 Ho 0.0000 0.5000 0.7500
Ho2 Ho 0.1157 0.7039 0.3214
```

uncorrected energy = -123.5 eV per cell
density = 7.35 g/cm³
N(E_F) = 1.5317 states/eV per atom